[1]
! NaEu2 (PBE, relaxed); values from VASP
! M_tot: 15.6 μB per formula unit
! D(E_F): 13.662 states/eV per cell
! excess energy over the best structure of this formula in the dataset: 0 meV/atom
! uncorrected energy: -7.22 eV/atom
! formation energy: 0.068 eV per atom
&SYSTEM
  ibrav = 0, nat = 3, ntyp = 2
/
ATOMIC_SPECIES
Na 22.99 Na.upf
Eu 151.96 Eu.upf
ATOMIC_POSITIONS crystal
Na 0.000 0.000 0.000
Eu 0.336 0.336 0.000
Eu 0.664 0.664 0.000
CELL_PARAMETERS angstrom
-2.010 2.010 7.621
2.010 -2.010 7.621
2.010 2.010 -7.621

[2]
! BaAcPdAu (PBE, relaxed); values from VASP
! M_tot: 0.0 μB per formula unit
! D(E_F): 3.996 states/eV per cell
! excess energy over the best structure of this formula in the dataset: 92 meV/atom
! uncorrected energy: -4.24 eV/atom
! formation energy: -0.610 eV per atom
&SYSTEM
  ibrav = 0, nat = 4, ntyp = 4
/
ATOMIC_SPECIES
Ba 137.33 Ba.upf
Ac 227.00 Ac.upf
Pd 106.42 Pd.upf
Au 196.97 Au.upf
ATOMIC_POSITIONS crystal
Ba 0.000 0.000 0.000
Ac 0.500 0.500 0.500
Pd 0.250 0.250 0.250
Au 0.750 0.750 0.750
CELL_PARAMETERS angstrom
0.000 3.900 3.900
3.900 0.000 3.900
3.900 3.900 0.000

[3]
! LiCr2Mo (PBE, relaxed); values from VASP
! M_tot: 0.6 μB per formula unit
! D(E_F): 2.825 states/eV per cell
! excess energy over the best structure of this formula in the dataset: 143 meV/atom
! uncorrected energy: -7.56 eV/atom
! formation energy: 0.438 eV per atom
&SYSTEM
  ibrav = 0, nat = 4, ntyp = 3
/
ATOMIC_SPECIES
Li 6.94 Li.upf
Cr 52.00 Cr.upf
Mo 95.94 Mo.upf
ATOMIC_POSITIONS crystal
Li 0.000 0.000 0.000
Cr 0.000 0.000 0.552
Cr 0.500 0.500 0.736
Mo 0.500 0.500 0.290
CELL_PARAMETERS angstrom
2.857 0.000 0.000
0.000 2.857 0.000
0.000 0.000 6.681